Compound: KScV3
Source: Alexandria via LeMat-Bulk
Functional: PBE
Structure: relaxed

Values from the calculation:
- Space-group type: Pm-3m, No. 221

Structure (extended XYZ):
```
5
Lattice="-3.719 2.160 2.552 -1.886 -4.508 1.066 2.761 -0.170 4.167" Properties=species:S:1:pos:R:3 pbc="T T T"
K -1.422 -1.258 3.893
V -0.943 -2.254 0.533
V -1.860 1.080 1.276
V 1.380 -0.085 2.083
Sc 0.000 0.000 0.000
```


Compound: K3ScV
Source: Alexandria via LeMat-Bulk
Functional: PBE
Structure: relaxed

Values from the calculation:
- Space-group type: Pm-3m, No. 221

Structure (extended XYZ):
```
5
Lattice="6.720 0.000 0.000 0.000 6.720 0.000 0.000 0.000 6.720" Properties=species:S:1:pos:R:3 pbc="T T T"
V 3.360 3.360 3.360
Sc 0.000 0.000 0.000
K 0.000 3.360 0.000
K 0.000 0.000 3.360
K 3.360 0.000 0.000
```


Compound: KSc2V
Source: Alexandria via LeMat-Bulk
Functional: PBE
Structure: relaxed

Values from the calculation:
- Space-group type: Fm-3m, No. 225

Structure (extended XYZ):
```
4
Lattice="0.354 -4.348 -2.930 -2.470 -0.256 -4.632 2.773 0.058 -4.464" Properties=species:S:1:pos:R:3 pbc="T T T"
Sc 0.164 -1.137 -3.006
Sc 0.492 -3.410 -9.019
K 0.000 0.000 0.000
V 0.328 -2.273 -6.013
```


no.,V (A^3/atom),E above lowest polymorph (meV/atom)
1,25.02,0.0
2,60.70,220.6
3,25.66,331.8